Crystalline LiLaEr2 at its relaxed geometry, computed with GGA-PBE.

## Properties
Energy relative to the elements in meV per atom: 205
Energy relative to the lowest polymorph listed for this composition in meV per atom: 112.3
Final energy in Ry per atom: -0.2784
SG: No. 123

a b c (Å): 5.6676 5.6676 3.7209
angles (deg): 90.00 90.00 90.00
With the nearest neighbours (Å) after each atom.
Fractional positions:
Li  0.0000  0.0000  0.0000  8 Er 3.39, 2 Li 3.72
La  0.5000  0.5000  0.0000  8 Er 3.39, 2 La 3.72
Er  0.0000  0.5000  0.5000  4 La 3.39, 4 Li 3.39, 2 Er 3.72
Er  0.5000  0.0000  0.5000  4 La 3.39, 4 Li 3.39, 2 Er 3.72